Run one
DFT (PBEsol) results for a relaxed structure of HgBr.

Cell and atoms, written as extended XYZ:
```
4
Lattice="3.6449 0.0000 0.0000 0.0000 5.5878 0.0000 0.0000 -2.7939 5.2107" Properties=species:S:1:pos:R:3 pbc="T T T"
Hg 2.7337 0.0000 4.1555
Hg 0.9112 2.7939 1.0552
Br 2.7337 0.0000 1.5739
Br 0.9112 2.7939 3.6368
```

Computed properties:
DOS(E_F) in states/eV per cell: 0.77

***

Run two
DFT (PBEsol) results for a relaxed structure of HgBr.

Cell and atoms, written as extended XYZ:
```
4
Lattice="-3.8687 -0.7000 -2.3475 2.0667 -3.2884 -2.4254 -0.7080 -1.8090 6.1719" Properties=species:S:1:pos:R:3 pbc="T T T"
Hg -0.3722 -0.8798 0.8757
Hg -2.1377 -4.9175 0.5233
Br -1.1130 -2.6310 2.6187
Br -1.3969 -3.1663 -1.2198
```

Computed properties:
DOS(E_F) in states/eV per cell: 0.00

***

Which one sits at the bottom of the stability order? run one does.

***

Run one
DFT (PBEsol) results for a relaxed structure of Hg3Br.

Cell and atoms, written as extended XYZ:
```
4
Lattice="3.9102 0.0000 0.0000 1.9551 5.3624 0.1739 1.9551 1.8286 5.0439" Properties=species:S:1:pos:R:3 pbc="T T T"
Hg 1.9551 1.8684 1.3557
Hg 3.9102 3.5955 2.6089
Hg 5.8654 5.3226 3.8621
Br 0.0000 0.0000 0.0000
```

Computed properties:
DOS(E_F) in states/eV per cell: 0.95

***

Run two
DFT (PBEsol) results for a relaxed structure of Hg3Br.

Cell and atoms, written as extended XYZ:
```
16
Lattice="7.6194 0.0000 0.0000 0.0000 8.1451 0.0000 0.0000 -4.0726 7.0539" Properties=species:S:1:pos:R:3 pbc="T T T"
Br 0.0000 0.0000 0.0000
Br 3.8097 0.0000 0.0000
Br 5.7146 4.0726 2.3513
Br 1.9049 0.0000 4.7026
Hg 0.0000 2.0363 3.5270
Hg 3.8097 2.0363 3.5270
Hg 0.0000 -2.0363 3.5270
Hg 0.0000 4.0726 0.0000
Hg 3.8097 4.0726 0.0000
Hg 3.8097 -2.0363 3.5270
Hg 5.7146 -1.8880 5.7927
Hg 1.9049 5.9606 1.2612
Hg 5.7146 1.8880 5.7927
Hg 5.7146 0.0000 2.5225
Hg 1.9049 4.0726 4.5314
Hg 1.9049 2.1845 1.2612
```

Computed properties:
DOS(E_F) in states/eV per cell: 5.44

***

Which one sits at the bottom of the stability order? run two does.

***

Run one
DFT (PBEsol) results for a relaxed structure of Hg5Br.

Cell and atoms, written as extended XYZ:
```
6
Lattice="4.0998 0.0000 0.0000 0.0000 6.2301 0.5780 -2.0499 -2.0058 5.8912" Properties=species:S:1:pos:R:3 pbc="T T T"
Hg 0.0000 4.4333 3.8533
Hg 2.0499 0.0113 1.9657
Hg 2.0499 3.0736 2.0150
Hg 2.0499 1.2208 5.8502
Hg 0.0000 1.3758 3.7950
Br 2.0499 -1.8942 5.5668
```

Computed properties:
DOS(E_F) in states/eV per cell: 1.74

***

Run two
DFT (PBEsol) results for a relaxed structure of Hg5Br.

Cell and atoms, written as extended XYZ:
```
6
Lattice="3.6480 0.0000 0.0000 0.0000 3.6480 0.0000 0.0000 0.0000 11.0107" Properties=species:S:1:pos:R:3 pbc="T T T"
Hg 0.0000 0.0000 9.0892
Hg 0.0000 0.0000 1.9216
Hg 1.8240 1.8240 7.3725
Hg 1.8240 1.8240 3.6382
Hg 0.0000 0.0000 5.5054
Br 1.8240 1.8240 0.0000
```

Computed properties:
DOS(E_F) in states/eV per cell: 1.47

***

Run three
DFT (PBEsol) results for a relaxed structure of Hg5Br.

Cell and atoms, written as extended XYZ:
```
6
Lattice="3.9622 0.0000 0.0000 0.0000 3.7017 0.0000 0.0000 -1.8508 10.9803" Properties=species:S:1:pos:R:3 pbc="T T T"
Hg 0.0000 0.0000 7.3744
Hg 0.0000 1.8508 2.5149
Hg 1.9811 0.0000 9.5107
Hg 1.9811 1.8508 6.0359
Hg 1.9811 0.0000 3.6995
Br 0.0000 0.0000 0.1454
```

Computed properties:
DOS(E_F) in states/eV per cell: 1.39

***

Which one sits at the bottom of the stability order? run two does.